No. 1
A plane-wave DFT calculation with GGA-PBE was carried out for an optimized crystal structure of Pr6NdAl2.

Results
**Formation energy from the elements**: 2.84 eV per formula unit
**Offset from the most stable computed form**: 386.5 kJ/mol of formula units
**Total magnetization**: 0.000 μB per formula unit
**VASP energy**: -4.23 eV per atom

Structure (POSCAR):
```
Pr6NdAl2
1.0
8.0013 0.0000 0.0000
0.0000 8.0013 0.0000
0.0000 0.0000 10.9027
Pr Nd Al
12 2 4
Cartesian
1.5253 1.5253 0.0000 Pr
1.9373 1.9373 3.5143 Pr
1.9373 1.9373 7.3884 Pr
2.0633 5.9380 1.9370 Pr
2.0633 5.9380 8.9657 Pr
2.4754 5.5259 5.4513 Pr
5.5259 2.4754 5.4513 Pr
5.9380 2.0633 1.9370 Pr
5.9380 2.0633 8.9657 Pr
6.0640 6.0640 3.5143 Pr
6.0640 6.0640 7.3884 Pr
6.4760 6.4760 0.0000 Pr
0.0000 0.0000 5.4513 Nd
4.0007 4.0007 0.0000 Nd
0.0000 0.0000 2.2088 Al
0.0000 0.0000 8.6939 Al
4.0007 4.0007 3.2426 Al
4.0007 4.0007 7.6601 Al
```

---

No. 2
A plane-wave DFT calculation with GGA-PBE was carried out for an optimized crystal structure of Co2AgPb.

Results
**Formation energy from the elements**: 2.93 eV per formula unit
**Total magnetization**: 3.174 μB per formula unit
**VASP energy**: -4.46 eV per atom

Structure (POSCAR):
```
Co2AgPb
1.0
-2.0116 2.0116 9.3477
2.0116 -2.0116 9.3477
2.0116 2.0116 -9.3477
Co Ag Pb
4 2 2
Cartesian
3.0174 0.6178 -2.3369 Co
0.6178 1.0058 2.3369 Co
-1.0058 1.3938 7.0107 Co
1.3938 1.0058 11.6846 Co
0.0000 0.0000 0.0000 Ag
0.0000 2.0116 4.6738 Ag
2.0116 0.0000 4.6738 Pb
0.0000 0.0000 9.3477 Pb
```